Entry 1:
First-principles (GGA-PBE) data for crystalline Np2CoGe3 at its relaxed geometry, as listed in Alexandria via LeMat-Bulk.

## Properties
**M_tot**: 7.0 μB per cell
**Energy relative to the elements**: -3.80 kcal/mol of atoms
**Final energy**: -47.8 eV/f.u.
**SG**: No. 25
**Offset from the most stable computed form**: 38 meV per atom

abc: 3.789 4.274 7.141
angles: 90.00 90.00 90.00
Each line ends with the local moment (μB).
Atoms (fractional coordinates):
Np 0.000 0.500 0.017  3.71
Np 0.000 0.000 0.496  3.67
Co 0.500 0.500 0.320  -0.81
Ge 0.500 0.000 0.834  -0.03
Ge 0.500 0.000 0.180  -0.05
Ge 0.500 0.500 0.652  -0.03

Entry 2:
First-principles (GGA-PBE) data for crystalline NpCo6Ge6 at its relaxed geometry, as listed in Alexandria via LeMat-Bulk.

## Properties
**M_tot**: 4.1 μB per cell
**Energy relative to the elements**: -5.18 kcal/mol of atoms
**Final energy**: -86.2 eV/f.u.
**SG**: No. 71

abc: 5.096 6.442 6.442
angles: 75.78 66.70 66.70
Each line ends with the local moment (μB).
Atoms (fractional coordinates):
Np 0.000 0.000 0.000  3.60
Co 0.000 0.500 0.000  0.06
Co 0.500 0.500 0.000  0.06
Co 0.000 0.000 0.500  0.06
Co 0.500 0.000 0.500  0.06
Co 0.500 0.746 0.254  0.01
Co 0.500 0.254 0.746  0.01
Ge 0.336 0.664 0.664  0.01
Ge 0.664 0.336 0.336  0.01
Ge 0.000 0.346 0.654  0.01
Ge 0.000 0.654 0.346  0.01
Ge 0.332 0.168 0.168  0.01
Ge 0.668 0.832 0.832  0.01

Entry 3:
First-principles (GGA-PBE) data for crystalline NpCo2Ge at its relaxed geometry, as listed in Alexandria via LeMat-Bulk.

## Properties
**M_tot**: 2.4 μB per cell
**Energy relative to the elements**: -3.70 kcal/mol of atoms
**Final energy**: -32.4 eV/f.u.
**SG**: No. 166

abc: 4.098 4.098 4.804
angles: 64.75 64.75 60.00
Each line ends with the local moment (μB).
Atoms (fractional coordinates):
Np 0.000 0.000 0.000  3.20
Ge 0.500 0.500 0.500  -0.01
Co 0.218 0.218 0.347  -0.50
Co 0.782 0.782 0.653  -0.50

Entry 4:
First-principles (GGA-PBE) data for crystalline Np4Co3Ge16 at its relaxed geometry, as listed in Alexandria via LeMat-Bulk.

## Properties
**M_tot**: 15.3 μB per cell
**Energy relative to the elements**: -3.34 kcal/mol of atoms
**Final energy**: -150.3 eV/f.u.
**SG**: No. 123

abc: 6.040 6.040 11.128
angles: 90.00 90.00 90.00
Each line ends with the local moment (μB).
Atoms (fractional coordinates):
Np 0.500 0.000 0.808  3.57
Np 0.000 0.500 0.192  3.57
Np 0.000 0.500 0.808  3.57
Np 0.500 0.000 0.192  3.57
Co 0.000 0.500 0.500  0.38
Co 0.000 0.000 0.000  0.06
Co 0.500 0.000 0.500  0.38
Ge 0.000 0.000 0.780  -0.02
Ge 0.277 0.277 0.000  -0.03
Ge 0.500 0.500 0.796  -0.03
Ge 0.723 0.277 0.000  -0.03
Ge 0.500 0.500 0.204  -0.03
Ge 0.723 0.723 0.000  -0.03
Ge 0.000 0.000 0.220  -0.02
Ge 0.748 0.748 0.618  -0.02
Ge 0.747 0.253 0.382  -0.02
Ge 0.253 0.253 0.618  -0.02
Ge 0.253 0.747 0.382  -0.02
Ge 0.277 0.723 0.000  -0.03
Ge 0.747 0.747 0.382  -0.02
Ge 0.747 0.253 0.618  -0.02
Ge 0.252 0.252 0.382  -0.02
Ge 0.253 0.747 0.618  -0.02

Entry 5:
First-principles (GGA-PBE) data for crystalline Np2Co12Ge7 at its relaxed geometry, as listed in Alexandria via LeMat-Bulk.

## Properties
**M_tot**: 10.4 μB per cell
**Energy relative to the elements**: -4.48 kcal/mol of atoms
**Final energy**: -147.6 eV/f.u.
**SG**: No. 174

abc: 3.747 9.353 9.353
angles: 120.00 90.00 90.00
Each line ends with the local moment (μB).
Atoms (fractional coordinates):
Np 0.500 0.000 0.000  3.36
Np 0.000 0.667 0.333  3.37
Co 0.500 0.904 0.611  -0.19
Co 0.500 0.708 0.096  -0.19
Co 0.500 0.389 0.292  -0.19
Co 0.500 0.232 0.776  0.89
Co 0.500 0.544 0.768  0.89
Co 0.500 0.224 0.456  0.89
Co 0.000 0.053 0.536  0.37
Co 0.000 0.483 0.947  0.37
Co 0.000 0.464 0.517  0.37
Co 0.000 0.779 0.723  0.15
Co 0.000 0.944 0.221  0.15
Co 0.000 0.277 0.056  0.15
Ge 0.000 0.333 0.667  -0.05
Ge 0.000 0.056 0.784  -0.02
Ge 0.000 0.728 0.944  -0.02
Ge 0.000 0.216 0.272  -0.02
Ge 0.500 0.631 0.564  -0.02
Ge 0.500 0.933 0.369  -0.02
Ge 0.500 0.436 0.067  -0.02

Entry 6:
First-principles (GGA-PBE) data for crystalline Np3Co2Ge7 at its relaxed geometry, as listed in Alexandria via LeMat-Bulk.

## Properties
**M_tot**: 10.8 μB per cell
**Energy relative to the elements**: -6.39 kcal/mol of atoms
**Final energy**: -88.7 eV/f.u.
**SG**: No. 65

abc: 4.179 4.152 12.729
angles: 99.38 90.00 90.00
Each line ends with the local moment (μB).
Atoms (fractional coordinates):
Np 0.500 0.500 0.000  3.21
Np 0.000 0.186 0.372  3.75
Np 0.000 0.814 0.628  3.75
Co 0.500 0.628 0.257  -0.19
Co 0.500 0.372 0.743  -0.19
Ge 0.500 0.720 0.440  -0.04
Ge 0.500 0.280 0.560  -0.04
Ge 0.000 0.589 0.177  -0.02
Ge 0.000 0.000 0.000  -0.02
Ge 0.000 0.411 0.823  -0.02
Ge 0.500 0.912 0.824  -0.02
Ge 0.500 0.088 0.176  -0.02